(1)
Compound: ThScTcMo
Source: Alexandria
Functional: PBE
Structure: optimized geometry

Properties
Density: 10.0 g/cm3
Spin magnetization: 0.0 Bohr magnetons per cell
DFT total energy: -34.89 eV/cell
DFT formation energy: 0.015 eV per atom
D(E_F): 3.81 states/eV/cell

abc: 4.8047 4.8047 4.8047
angles: 60.00 60.00 60.00
With the nearest neighbours (Å) after each atom.
Atoms (fractional coordinates):
Th: 0.2500 0.2500 0.2500  4 Mo 2.94, 4 Tc 2.94
Sc: 0.7500 0.7500 0.7500  4 Mo 2.94, 4 Tc 2.94
Tc: 0.0000 0.0000 0.0000  4 Th 2.94, 4 Sc 2.94
Mo: 0.5000 0.5000 0.5000  4 Sc 2.94, 4 Th 2.94

=====

(2)
Compound: ScTiTcMo
Source: Alexandria
Functional: PBE
Structure: optimized geometry

Properties
Density: 7.2 g/cm3
Spin magnetization: 0.0 Bohr magnetons per cell
DFT total energy: -35.63 eV/cell
DFT formation energy: -0.052 eV per atom
D(E_F): 6.27 states/eV/cell

abc: 4.5385 4.5385 4.5385
angles: 60.00 60.00 60.00
With the nearest neighbours (Å) after each atom.
Atoms (fractional coordinates):
Ti: 0.2500 0.2500 0.2500  4 Mo 2.78, 4 Sc 2.78
Sc: 0.0000 0.0000 0.0000  4 Ti 2.78, 4 Tc 2.78
Mo: 0.5000 0.5000 0.5000  4 Tc 2.78, 4 Ti 2.78
Tc: 0.7500 0.7500 0.7500  4 Mo 2.78, 4 Sc 2.78

=====

(3)
Compound: ScZn2TcMo
Source: Alexandria
Functional: PBE
Structure: optimized geometry

Properties
Density: 5.8 g/cm3
Spin magnetization: 0.0 Bohr magnetons per cell
DFT total energy: -26.58 eV/cell
DFT formation energy: 0.699 eV per atom
Offset from the most stable computed form: 0 kJ/mol of formula units
D(E_F): 4.55 states/eV/cell

abc: 4.7730 4.6150 4.7730
angles: 90.00 90.00 90.00
With the nearest neighbours (Å) after each atom.
Atoms (fractional coordinates):
Mo: 0.0000 0.5000 0.0000  2 Tc 2.31
Zn: 0.0000 0.0000 0.5000  2 Tc 2.39
Zn: 0.5000 0.0000 0.0000  2 Tc 2.39
Tc: 0.0000 0.0000 0.0000  2 Mo 2.31, 4 Zn 2.39
Sc: 0.5000 0.5000 0.5000  8 Zn 3.32, 4 Mo 3.38

=====

(4)
Compound: ScZn2TcMo
Source: Alexandria
Functional: PBE
Structure: optimized geometry

Properties
Density: 5.7 g/cm3
Spin magnetization: 0.6 Bohr magnetons per cell
DFT total energy: -25.98 eV/cell
DFT formation energy: 0.820 eV per atom
Offset from the most stable computed form: 58 kJ/mol of formula units
D(E_F): 5.48 states/eV/cell

abc: 4.8363 4.5716 4.8363
angles: 90.00 90.00 90.00
With the nearest neighbours (Å) after each atom.
Atoms (fractional coordinates):
Zn: 0.5000 0.0000 0.0000  2 Mo 2.42
Zn: 0.0000 0.0000 0.5000  2 Mo 2.42
Mo: 0.0000 0.0000 0.0000  2 Tc 2.29, 4 Zn 2.42
Sc: 0.5000 0.5000 0.5000  8 Zn 3.33, 4 Tc 3.42
Tc: 0.0000 0.5000 0.0000  2 Mo 2.29

=====

(5)
Compound: ScTeMo2
Source: Alexandria
Functional: PBE
Structure: optimized geometry

Properties
Density: 8.3 g/cm3
Spin magnetization: 0.0 Bohr magnetons per cell
DFT total energy: -30.76 eV/cell
D(E_F): 3.46 states/eV/cell

abc: 5.5521 5.5521 5.5521
angles: 143.08 134.01 60.38
With the nearest neighbours (Å) after each atom.
Atoms (fractional coordinates):
Sc: 0.2500 0.7500 0.5000  4 Te 2.79, 4 Mo 2.94
Mo: 0.4961 0.4961 0.0000  4 Mo 2.79, 2 Sc 2.94, 2 Te 3.00
Mo: 0.0039 0.0039 0.0000  4 Mo 2.79, 2 Sc 2.94, 2 Te 3.00
Te: 0.7500 0.2500 0.5000  4 Sc 2.79, 4 Mo 3.00

=====

(6)
Compound: ScTeMo2
Source: Alexandria
Functional: PBE
Structure: optimized geometry

Properties
Density: 7.7 g/cm3
Spin magnetization: 0.0 Bohr magnetons per cell
DFT total energy: -30.29 eV/cell
D(E_F): 4.23 states/eV/cell

abc: 3.1115 3.1115 8.7636
angles: 90.00 90.00 112.01
With the nearest neighbours (Å) after each atom.
Atoms (fractional coordinates):
Mo: 0.0000 0.0000 0.0258  2 Mo 2.53
Mo: 0.5000 0.5000 0.2348  2 Mo 2.53, 2 Sc 2.79
Sc: 0.0000 0.0000 0.4837  2 Mo 2.79, 2 Te 2.95, 4 Sc 3.11
Te: 0.5000 0.5000 0.7557  2 Mo 2.94, 2 Sc 2.95, 4 Te 3.11

=====

(7)
Compound: ScTe2Mo
Source: Alexandria
Functional: PBE
Structure: optimized geometry

Properties
Density: 5.4 g/cm3
Spin magnetization: 0.0 Bohr magnetons per cell
DFT total energy: -46.21 eV/cell
Offset from the most stable computed form: 208 kJ/mol of formula units
D(E_F): 10.23 states/eV/cell

abc: 5.7343 5.7343 8.3983
angles: 70.04 70.04 90.00
With the nearest neighbours (Å) after each atom.
Atoms (fractional coordinates):
Te: 0.3750 0.3413 0.7500  2 Mo 2.64, 2 Sc 2.84
Te: 0.0913 0.6250 0.2500  2 Mo 2.64, 2 Sc 2.84
Te: 0.6587 0.1250 0.2500  2 Mo 2.64, 2 Sc 2.84
Te: 0.8750 0.9087 0.7500  2 Mo 2.64, 2 Sc 2.84
Mo: 0.7500 0.2500 0.5000  4 Te 2.64
Mo: 0.0000 0.0000 0.0000  4 Te 2.64
Sc: 0.5000 0.5000 0.0000  4 Te 2.84
Sc: 0.2500 0.7500 0.5000  4 Te 2.84

=====

(8)
Compound: Sc2TeMo
Source: Alexandria
Functional: PBE
Structure: optimized geometry

Properties
Density: 6.7 g/cm3
Spin magnetization: 0.0 Bohr magnetons per cell
DFT total energy: -26.78 eV/cell
D(E_F): 2.87 states/eV/cell

abc: 4.7805 4.7805 4.7805
angles: 60.00 60.00 60.00
With the nearest neighbours (Å) after each atom.
Atoms (fractional coordinates):
Sc: 0.0000 0.0000 0.0000  4 Te 2.93, 4 Sc 2.93
Sc: 0.2500 0.2500 0.2500  4 Mo 2.93, 4 Sc 2.93
Mo: 0.5000 0.5000 0.5000  4 Te 2.93, 4 Sc 2.93
Te: 0.7500 0.7500 0.7500  4 Mo 2.93, 4 Sc 2.93

=====

(9)
Compound: ScTeMo2
Source: Alexandria
Functional: PBE
Structure: optimized geometry

Properties
Density: 8.5 g/cm3
Spin magnetization: 0.0 Bohr magnetons per cell
DFT total energy: -30.43 eV/cell
D(E_F): 5.01 states/eV/cell

abc: 4.4987 4.4987 3.5296
angles: 90.00 90.00 90.00
With the nearest neighbours (Å) after each atom.
Atoms (fractional coordinates):
Te: 0.0000 0.5000 0.5000  8 Mo 2.86, 4 Sc 3.18
Mo: 0.0000 0.0000 0.0000  4 Te 2.86, 4 Sc 2.86, 4 Mo 3.18
Mo: 0.5000 0.5000 0.0000  4 Te 2.86, 4 Sc 2.86, 4 Mo 3.18
Sc: 0.5000 0.0000 0.5000  8 Mo 2.86, 4 Te 3.18

=====

(10)
Compound: Sc2TeMo
Source: Alexandria
Functional: PBE
Structure: optimized geometry

Properties
Density: 5.4 g/cm3
Spin magnetization: 0.0 Bohr magnetons per cell
DFT total energy: -26.01 eV/cell
D(E_F): 3.21 states/eV/cell

abc: 10.0258 10.0258 10.0258
angles: 19.34 19.34 19.34
With the nearest neighbours (Å) after each atom.
Atoms (fractional coordinates):
Sc: 0.1014 0.1014 0.1014  3 Mo 2.74, 1 Te 2.99
Sc: 0.8986 0.8986 0.8986  3 Mo 2.74, 1 Te 2.99
Te: 0.0000 0.0000 0.0000  2 Sc 2.99
Mo: 0.5000 0.5000 0.5000  6 Sc 2.74

=====

(11)
Compound: ScTeMo2
Source: Alexandria
Functional: PBE
Structure: optimized geometry

Properties
Density: 7.9 g/cm3
Spin magnetization: 0.0 Bohr magnetons per cell
DFT total energy: -29.06 eV/cell
D(E_F): 4.71 states/eV/cell

abc: 3.0525 3.0525 8.7563
angles: 90.00 90.00 110.26
With the nearest neighbours (Å) after each atom.
Atoms (fractional coordinates):
Mo: 0.0000 0.0000 0.9929  2 Te 2.75, 2 Sc 2.85, 4 Mo 3.05
Mo: 0.0000 0.0000 0.5071  2 Te 2.75, 2 Sc 2.85, 4 Mo 3.05
Te: 0.5000 0.5000 0.7500  4 Mo 2.75, 4 Te 3.05
Sc: 0.5000 0.5000 0.2500  4 Mo 2.85, 4 Sc 3.05

=====

(12)
Compound: ScTe2Mo
Source: Alexandria
Functional: PBE
Structure: optimized geometry

Properties
Density: 5.1 g/cm3
Spin magnetization: 4.4 Bohr magnetons per cell
DFT total energy: -22.79 eV/cell
Offset from the most stable computed form: 239 kJ/mol of formula units
D(E_F): 1.75 states/eV/cell

abc: 9.2082 9.2082 9.2082
angles: 25.56 25.56 25.56
With the nearest neighbours (Å) after each atom.
Atoms (fractional coordinates):
Te: 0.1029 0.1029 0.1029  1 Mo 2.75, 3 Sc 2.90
Te: 0.8971 0.8971 0.8971  1 Mo 2.75, 3 Sc 2.90
Mo: 0.0000 0.0000 0.0000  2 Te 2.75
Sc: 0.5000 0.5000 0.5000  6 Te 2.90

=====

(13)
Compound: ScTeMo2
Source: Alexandria
Functional: PBE
Structure: optimized geometry

Properties
Density: 8.2 g/cm3
Spin magnetization: 0.0 Bohr magnetons per cell
DFT total energy: -30.74 eV/cell
D(E_F): 2.88 states/eV/cell

abc: 4.7448 3.9343 3.9343
angles: 90.00 90.00 90.00
With the nearest neighbours (Å) after each atom.
Atoms (fractional coordinates):
Sc: 0.5000 0.5000 0.0000  4 Te 2.78, 8 Mo 3.08
Mo: 0.0000 0.0000 0.0000  4 Mo 2.78, 4 Te 3.08, 4 Sc 3.08
Mo: 0.0000 0.5000 0.5000  4 Mo 2.78, 4 Te 3.08, 4 Sc 3.08
Te: 0.5000 0.0000 0.5000  4 Sc 2.78, 8 Mo 3.08

=====

(14)
Compound: Sc2TeMo
Source: Alexandria
Functional: PBE
Structure: optimized geometry

Properties
Density: 5.9 g/cm3
Spin magnetization: 0.5 Bohr magnetons per cell
DFT total energy: -26.32 eV/cell
D(E_F): 4.67 states/eV/cell

abc: 9.3687 9.3687 9.3687
angles: 20.58 20.58 20.58
With the nearest neighbours (Å) after each atom.
Atoms (fractional coordinates):
Te: 0.4906 0.4906 0.4906  3 Mo 2.71
Sc: 0.0088 0.0088 0.0088  3 Mo 2.91
Sc: 0.2458 0.2458 0.2458  3 Te 3.11, 9 Sc 3.28-3.35
Mo: 0.7548 0.7548 0.7548  3 Te 2.71, 3 Sc 2.91

=====

(15)
Compound: Sc2TeMo
Source: Alexandria
Functional: PBE
Structure: optimized geometry

Properties
Density: 6.4 g/cm3
Spin magnetization: 0.0 Bohr magnetons per cell
DFT total energy: -28.16 eV/cell
D(E_F): 3.17 states/eV/cell

abc: 3.6119 3.6119 6.2606
angles: 90.00 90.00 89.96
With the nearest neighbours (Å) after each atom.
Atoms (fractional coordinates):
Sc: 0.0000 0.0000 0.9833  1 Sc 2.92, 4 Mo 2.94, 4 Te 3.05
Sc: 0.0000 0.0000 0.5167  1 Sc 2.92, 4 Mo 2.94, 4 Te 3.05
Te: 0.5000 0.5000 0.2500  8 Sc 3.05, 2 Mo 3.13
Mo: 0.5000 0.5000 0.7500  8 Sc 2.94, 2 Te 3.13